First-principles (PBE) data for LiDyZn after structural relaxation, as listed in OQMD.

ρ   5.5 g/cm³
Calculated total energy   -7.511 eV for the cell shown

abc: 4.657 4.657 4.657
angles: 60.00 60.00 60.00
Positions (direct):
Li: 0.000 0.000 0.000
Dy: 0.500 0.500 0.500
Zn: 0.750 0.750 0.750

First-principles (PBE) data for Li3DyZr after structural relaxation, as listed in OQMD.

ρ   2.2 g/cm³
Calculated total energy   -25.230 eV for the cell shown

abc: 9.965 9.965 4.782
angles: 90.00 90.00 120.09
Positions (direct):
Li: 0.155 0.310 0.750
Li: 0.155 0.845 0.750
Li: 0.310 0.155 0.250
Li: 0.690 0.845 0.750
Li: 0.845 0.155 0.250
Li: 0.845 0.690 0.250
Dy: 0.333 0.667 0.750
Dy: 0.667 0.333 0.250
Zr: 0.000 0.000 0.000
Zr: 0.000 0.000 0.500

First-principles (PBE) data for DyLu after structural relaxation, as listed in OQMD.

Energy relative to the elements   0.007 eV per atom
Polymorph energy (0 for the lowest one)   0.0000 eV per atom
ρ   9.3 g/cm³
Calculated total energy   -9.111 eV for the cell shown

abc: 3.560 3.560 5.518
angles: 90.00 90.00 120.00
Positions (direct):
Dy: 0.000 0.000 0.000
Lu: 0.667 0.333 0.500

First-principles (PBE) data for DyLu after structural relaxation, as listed in OQMD.

Energy relative to the elements   0.083 eV per atom
Polymorph energy (0 for the lowest one)   0.0761 eV per atom
ρ   9.9 g/cm³
Calculated total energy   -17.918 eV for the cell shown

abc: 3.563 3.563 10.294
angles: 90.00 90.00 120.00
Positions (direct):
Dy: 0.000 0.000 0.000
Dy: 0.000 0.000 0.500
Lu: 0.333 0.667 0.250
Lu: 0.667 0.333 0.750

First-principles (PBE) data for DyLu2 after structural relaxation, as listed in OQMD.

Energy relative to the elements   0.292 eV per atom
Polymorph energy (0 for the lowest one)   0.0000 eV per atom
ρ   9.0 g/cm³
Calculated total energy   -25.545 eV for the cell shown

abc: 6.447 6.447 6.447
angles: 60.00 60.00 60.00
Positions (direct):
Dy: 0.125 0.125 0.125
Dy: 0.875 0.875 0.875
Lu: 0.000 0.500 0.500
Lu: 0.500 0.000 0.500
Lu: 0.500 0.500 0.000
Lu: 0.500 0.500 0.500

First-principles (PBE) data for DyLu after structural relaxation, as listed in OQMD.

Energy relative to the elements   1.985 eV per atom
Polymorph energy (0 for the lowest one)   1.9785 eV per atom
ρ   6.1 g/cm³
Calculated total energy   -5.154 eV for the cell shown

abc: 5.068 5.068 5.068
angles: 60.00 60.00 60.00
Positions (direct):
Dy: 0.000 0.000 0.000
Lu: 0.750 0.750 0.750

First-principles (PBE) data for DyLu after structural relaxation, as listed in OQMD.

Energy relative to the elements   0.813 eV per atom
Polymorph energy (0 for the lowest one)   0.8062 eV per atom
ρ   8.5 g/cm³
Calculated total energy   -7.499 eV for the cell shown

abc: 4.540 4.540 4.540
angles: 60.00 60.00 60.00
Positions (direct):
Dy: 0.000 0.000 0.000
Lu: 0.500 0.500 0.500

First-principles (PBE) data for DyLu2 after structural relaxation, as listed in OQMD.

Energy relative to the elements   2.523 eV per atom
Polymorph energy (0 for the lowest one)   2.2310 eV per atom
ρ   2.3 g/cm³
Calculated total energy   -12.159 eV for the cell shown

abc: 10.087 10.087 10.087
angles: 60.00 60.00 60.00
Positions (direct):
Dy: 0.125 0.125 0.125
Dy: 0.875 0.875 0.875
Lu: 0.000 0.000 0.000
Lu: 0.000 0.000 0.500
Lu: 0.000 0.500 0.000
Lu: 0.500 0.000 0.000

First-principles (PBE) data for DyLuMg after structural relaxation, as listed in OQMD.

Polymorph energy (0 for the lowest one)   0.0000 eV per atom
ρ   6.1 g/cm³
Calculated total energy   -9.355 eV for the cell shown

abc: 5.182 5.182 5.182
angles: 60.00 60.00 60.00
Positions (direct):
Dy: 0.000 0.000 0.000
Lu: 0.500 0.500 0.500
Mg: 0.250 0.250 0.250

First-principles (PBE) data for DyLu2N3 after structural relaxation, as listed in OQMD.

ρ   11.2 g/cm³
Calculated total energy   -49.510 eV for the cell shown

abc: 3.385 3.385 8.292
angles: 90.00 90.00 120.00
Positions (direct):
Dy: 0.000 0.000 0.000
Lu: 0.333 0.667 0.336
Lu: 0.667 0.333 0.664
N: 0.000 0.000 0.500
N: 0.333 0.667 0.827
N: 0.667 0.333 0.173

First-principles (PBE) data for DyLuNi2 after structural relaxation, as listed in OQMD.

Energy relative to the elements   -0.492 eV per atom
ρ   9.8 g/cm³
Calculated total energy   -44.461 eV for the cell shown

abc: 5.366 4.123 6.950
angles: 90.00 90.57 90.00
Positions (direct):
Dy: 0.133 0.250 0.182
Dy: 0.867 0.750 0.818
Lu: 0.368 0.250 0.678
Lu: 0.632 0.750 0.322
Ni: 0.130 0.750 0.464
Ni: 0.375 0.750 0.961
Ni: 0.625 0.250 0.039
Ni: 0.870 0.250 0.536

First-principles (PBE) data for DyLuNi2 after structural relaxation, as listed in OQMD.

Energy relative to the elements   -0.493 eV per atom
ρ   9.8 g/cm³
Calculated total energy   -44.462 eV for the cell shown

abc: 4.125 5.370 6.957
angles: 90.00 90.00 90.00
Positions (direct):
Dy: 0.000 0.119 0.000
Dy: 0.000 0.881 0.500
Lu: 0.500 0.383 0.640
Lu: 0.500 0.617 0.140
Ni: 0.000 0.380 0.359
Ni: 0.000 0.620 0.859
Ni: 0.500 0.126 0.284
Ni: 0.500 0.874 0.784

First-principles (PBE) data for DyLuNi2 after structural relaxation, as listed in OQMD.

Energy relative to the elements   -0.494 eV per atom
ρ   9.8 g/cm³
Calculated total energy   -44.475 eV for the cell shown

abc: 4.132 6.966 5.376
angles: 90.00 90.00 90.00
Positions (direct):
Dy: 0.000 0.073 0.000
Dy: 0.500 0.927 0.500
Lu: 0.000 0.568 0.236
Lu: 0.500 0.432 0.736
Ni: 0.000 0.219 0.497
Ni: 0.000 0.706 0.743
Ni: 0.500 0.294 0.243
Ni: 0.500 0.781 0.997

First-principles (PBE) data for DyLuNi after structural relaxation, as listed in OQMD.

Energy relative to the elements   -0.195 eV per atom
Polymorph energy (0 for the lowest one)   0.0000 eV per atom
ρ   9.1 g/cm³
Calculated total energy   -15.277 eV for the cell shown

abc: 4.676 4.676 4.676
angles: 60.00 60.00 60.00
Positions (direct):
Dy: 0.000 0.000 0.000
Lu: 0.500 0.500 0.500
Ni: 0.250 0.250 0.250

First-principles (PBE) data for Dy2YTm2Lu2Ni2S2 after structural relaxation, as listed in OQMD.

ρ   8.6 g/cm³
Calculated total energy   -62.540 eV for the cell shown

abc: 8.818 8.818 8.818
angles: 155.53 67.30 118.40
Positions (direct):
Dy: 0.137 0.000 0.137
Dy: 0.863 0.000 0.863
Y: 0.255 0.755 0.500
Tm: 0.182 0.365 0.816
Tm: 0.549 0.365 0.184
Lu: 0.537 0.157 0.379
Lu: 0.778 0.157 0.621
Ni: 0.413 0.670 0.743
Ni: 0.927 0.670 0.257
S: 0.507 0.507 0.000
S: 0.902 0.402 0.500

First-principles (PBE) data for Dy4YLu2Ni2S2 after structural relaxation, as listed in OQMD.

ρ   8.4 g/cm³
Calculated total energy   -62.820 eV for the cell shown

abc: 8.856 8.856 8.856
angles: 155.52 67.59 118.11
Positions (direct):
Dy: 0.120 0.000 0.120
Dy: 0.209 0.845 0.364
Dy: 0.481 0.845 0.636
Dy: 0.880 0.000 0.880
Y: 0.597 0.597 0.000
Lu: 0.522 0.207 0.315
Lu: 0.892 0.207 0.685
Ni: 0.273 0.513 0.760
Ni: 0.753 0.513 0.240
S: 0.255 0.255 0.000
S: 0.841 0.341 0.500

First-principles (PBE) data for Dy2Y3Lu2Ni2S2 after structural relaxation, as listed in OQMD.

ρ   7.4 g/cm³
Calculated total energy   -66.576 eV for the cell shown

abc: 8.867 8.867 8.867
angles: 155.45 67.65 118.08
Positions (direct):
Dy: 0.121 0.000 0.121
Dy: 0.879 0.000 0.879
Y: 0.208 0.844 0.364
Y: 0.480 0.844 0.636
Y: 0.597 0.597 0.000
Lu: 0.523 0.207 0.315
Lu: 0.892 0.207 0.685
Ni: 0.275 0.515 0.760
Ni: 0.756 0.515 0.240
S: 0.254 0.254 0.000
S: 0.842 0.342 0.500

First-principles (PBE) data for DyLu6Ni2Se2 after structural relaxation, as listed in OQMD.

ρ   9.8 g/cm³
Calculated total energy   -58.957 eV for the cell shown

abc: 8.880 8.880 8.880
angles: 155.66 67.51 118.12
Positions (direct):
Dy: 0.000 0.000 0.000
Lu: 0.066 0.381 0.685
Lu: 0.100 0.741 0.359
Lu: 0.382 0.741 0.641
Lu: 0.461 0.588 0.873
Lu: 0.696 0.381 0.315
Lu: 0.714 0.588 0.127
Ni: 0.316 0.077 0.239
Ni: 0.838 0.077 0.761
Se: 0.342 0.342 0.000
Se: 0.740 0.240 0.500

First-principles (PBE) data for Dy3Lu4Ni2Se2 after structural relaxation, as listed in OQMD.

ρ   9.4 g/cm³
Calculated total energy   -59.070 eV for the cell shown

abc: 8.954 8.954 8.954
angles: 155.76 67.68 117.90
Positions (direct):
Dy: 0.000 0.000 0.000
Dy: 0.289 0.415 0.874
Dy: 0.541 0.415 0.126
Lu: 0.304 0.618 0.685
Lu: 0.621 0.262 0.359
Lu: 0.903 0.262 0.641
Lu: 0.933 0.618 0.315
Ni: 0.160 0.924 0.236
Ni: 0.689 0.924 0.764
Se: 0.255 0.755 0.500
Se: 0.665 0.665 0.000

First-principles (PBE) data for DyTm4Lu2Ni2Se2 after structural relaxation, as listed in OQMD.

ρ   9.5 g/cm³
Calculated total energy   -58.765 eV for the cell shown

abc: 8.915 8.915 8.915
angles: 155.67 67.72 117.91
Positions (direct):
Dy: 0.000 0.000 0.000
Tm: 0.098 0.739 0.359
Tm: 0.381 0.739 0.641
Tm: 0.458 0.585 0.873
Tm: 0.712 0.585 0.127
Lu: 0.063 0.379 0.683
Lu: 0.696 0.379 0.317
Ni: 0.310 0.073 0.237
Ni: 0.836 0.073 0.763
Se: 0.341 0.341 0.000
Se: 0.740 0.240 0.500

First-principles (PBE) data for DyLuSi4Ni2 after structural relaxation, as listed in OQMD.

ρ   7.4 g/cm³
Calculated total energy   -48.479 eV for the cell shown

abc: 3.938 8.445 8.445
angles: 26.98 90.00 90.00
Positions (direct):
Dy: 0.000 0.000 0.000
Lu: 0.500 0.210 0.210
Si: 0.000 0.354 0.354
Si: 0.000 0.645 0.645
Si: 0.500 0.566 0.566
Si: 0.500 0.854 0.854
Ni: 0.000 0.781 0.781
Ni: 0.500 0.428 0.428

First-principles (PBE) data for Dy4Lu3Ni2Te2 after structural relaxation, as listed in OQMD.

Polymorph energy (0 for the lowest one)   0.0000 eV per atom
ρ   9.1 g/cm³
Calculated total energy   -56.825 eV for the cell shown

abc: 9.293 9.293 9.293
angles: 156.21 67.25 118.14
Positions (direct):
Dy: 0.134 0.000 0.134
Dy: 0.207 0.854 0.354
Dy: 0.500 0.854 0.646
Dy: 0.866 0.000 0.866
Lu: 0.519 0.203 0.316
Lu: 0.582 0.582 0.000
Lu: 0.887 0.203 0.684
Ni: 0.279 0.514 0.765
Ni: 0.750 0.514 0.235
Te: 0.245 0.245 0.000
Te: 0.844 0.344 0.500

First-principles (PBE) data for DyLu6Ni2Te2 after structural relaxation, as listed in OQMD.

ρ   9.6 g/cm³
Calculated total energy   -56.693 eV for the cell shown

abc: 9.171 9.171 9.171
angles: 156.02 67.30 118.18
Positions (direct):
Dy: 0.000 0.000 0.000
Lu: 0.062 0.376 0.686
Lu: 0.082 0.729 0.353
Lu: 0.376 0.729 0.647
Lu: 0.447 0.582 0.865
Lu: 0.690 0.376 0.314
Lu: 0.717 0.582 0.135
Ni: 0.306 0.069 0.236
Ni: 0.833 0.069 0.764
Te: 0.339 0.339 0.000
Te: 0.732 0.232 0.500

First-principles (PBE) data for Dy4Lu3Ni2Te2 after structural relaxation, as listed in OQMD.

Polymorph energy (0 for the lowest one)   0.0156 eV per atom
ρ   9.1 g/cm³
Calculated total energy   -56.653 eV for the cell shown

abc: 9.280 9.280 9.280
angles: 156.30 67.23 118.13
Positions (direct):
Dy: 0.133 0.000 0.133
Dy: 0.518 0.203 0.315
Dy: 0.867 0.000 0.867
Dy: 0.888 0.203 0.685
Lu: 0.209 0.854 0.355
Lu: 0.499 0.854 0.645
Lu: 0.579 0.579 0.000
Ni: 0.274 0.508 0.766
Ni: 0.743 0.508 0.234
Te: 0.245 0.245 0.000
Te: 0.845 0.345 0.500

First-principles (PBE) data for Dy6LuNi2Te2 after structural relaxation, as listed in OQMD.

ρ   8.8 g/cm³
Calculated total energy   -56.852 eV for the cell shown

abc: 9.342 9.342 9.342
angles: 156.34 67.05 118.29
Positions (direct):
Dy: 0.113 0.797 0.316
Dy: 0.133 0.000 0.133
Dy: 0.481 0.797 0.684
Dy: 0.502 0.147 0.355
Dy: 0.791 0.147 0.645
Dy: 0.867 0.000 0.867
Lu: 0.419 0.419 0.000
Ni: 0.253 0.489 0.764
Ni: 0.725 0.489 0.236
Te: 0.154 0.654 0.500
Te: 0.756 0.756 0.000